# LiLa2TaHg

A relaxed structure of LiLa2TaHg (GGA-PBE, the Alexandria database).

Calculated values
Space-group type: P4/mmm (123)
Spin magnetization in μB per formula unit: 2.53
Calculated volume in Å³ per cell: 187.1
ΔH_f (0 K) in eV/atom: 0.89

```
5
Lattice="5.9818 0.0000 0.0000 0.0000 5.2279 0.0000 0.0000 0.0000 5.9818" Properties=species:S:1:pos:R:3 pbc="T T T"
La 2.9909 0.0000 0.0000
Hg 0.0000 0.0000 0.0000
La 0.0000 0.0000 2.9909
Li 2.9909 2.6139 2.9909
Ta 0.0000 2.6139 0.0000
```

# LiLaTbHg

A relaxed structure of LiLaTbHg (GGA-PBE, the Alexandria database).

Calculated values
Space-group type: F-43m (216)
Spin magnetization in μB per formula unit: 0.32
Calculated volume in Å³ per cell: 110.1
ΔH_f (0 K) in eV/atom: -0.20

```
4
Lattice="5.3799 0.0000 0.0000 2.6899 4.6591 0.0000 2.6899 1.5530 4.3926" Properties=species:S:1:pos:R:3 pbc="T T T"
La 8.0698 4.6591 3.2945
Hg 5.3799 3.1061 2.1963
Tb 2.6899 1.5530 1.0982
Li 0.0000 0.0000 0.0000
```

# LiLaTl2Hg

A relaxed structure of LiLaTl2Hg (GGA-PBE, the Alexandria database).

Calculated values
Space-group type: P4/mmm (123)
Spin magnetization in μB per formula unit: 0.00
Calculated volume in Å³ per cell: 129.5
ΔH_f (0 K) in eV/atom: -0.23

```
5
Lattice="-0.5963 4.3247 -2.6557 -3.4697 1.6040 3.3911 3.5942 2.1340 2.6681" Properties=species:S:1:pos:R:3 pbc="T T T"
La -0.2359 4.0314 1.7017
Tl -1.7349 0.8020 1.6955
Li 0.0000 0.0000 0.0000
Hg 1.7971 1.0670 1.3341
Tl -0.2981 2.1623 -1.3279
```

# LiLaTlHg

A relaxed structure of LiLaTlHg (GGA-PBE, the Alexandria database).

Calculated values
Space-group type: F-43m (216)
Spin magnetization in μB per formula unit: 0.00
Calculated volume in Å³ per cell: 104.5
ΔH_f (0 K) in eV/atom: -0.42

```
4
Lattice="-1.7026 4.9300 -0.8640 -1.1776 1.5676 -4.9098 -5.0352 0.8566 -1.3653" Properties=species:S:1:pos:R:3 pbc="T T T"
La -1.9788 1.8386 -1.7848
Tl 0.0000 0.0000 0.0000
Li -5.9365 5.5157 -5.3543
Hg -3.9576 3.6771 -3.5695
```

# LiLaTlHg2

A relaxed structure of LiLaTlHg2 (GGA-PBE, the Alexandria database).

Calculated values
Space-group type: P4/mmm (123)
Spin magnetization in μB per formula unit: 0.00
Calculated volume in Å³ per cell: 126.0
ΔH_f (0 K) in eV/atom: -0.27

```
5
Lattice="4.9721 0.0000 0.0000 0.0000 4.9721 0.0000 0.0000 0.0000 5.0950" Properties=species:S:1:pos:R:3 pbc="T T T"
Hg 0.0000 2.4860 0.0000
Hg 2.4860 0.0000 0.0000
Li 0.0000 0.0000 0.0000
Tl 0.0000 0.0000 2.5475
La 2.4860 2.4860 2.5475
```

# LiLaTm2Hg4

A relaxed structure of LiLaTm2Hg4 (GGA-PBE, the Alexandria database).

Calculated values
Space-group type: R-3m (166)
Spin magnetization in μB per formula unit: 0.00
Calculated volume in Å³ per cell: 201.2
ΔH_f (0 K) in eV/atom: -0.43

```
8
Lattice="5.1086 0.0000 0.0000 2.5543 4.4242 0.0000 2.5543 1.4747 8.9007" Properties=species:S:1:pos:R:3 pbc="T T T"
Tm 2.5543 1.4747 2.4441
Tm 7.6630 4.4242 6.4566
Hg 7.6630 4.4242 3.4128
Hg 5.1086 2.9495 1.4593
La 0.0000 0.0000 0.0000
Hg 5.1086 2.9495 7.4414
Hg 2.5543 1.4747 5.4879
Li 5.1086 2.9495 4.4504
```

# LiLaY2Hg4

A relaxed structure of LiLaY2Hg4 (GGA-PBE, the Alexandria database).

Calculated values
Space-group type: R-3m (166)
Spin magnetization in μB per formula unit: 0.00
Calculated volume in Å³ per cell: 206.3
ΔH_f (0 K) in eV/atom: -0.45

```
8
Lattice="5.1606 0.0000 0.0000 2.5803 4.4692 0.0000 2.5803 1.4897 8.9431" Properties=species:S:1:pos:R:3 pbc="T T T"
Hg 2.5803 1.4897 5.5322
Li 5.1606 2.9795 4.4715
Y 7.7409 4.4692 6.4821
Hg 7.7409 4.4692 3.4109
Hg 5.1606 2.9795 7.5327
Y 2.5803 1.4897 2.4610
Hg 5.1606 2.9795 1.4104
La 0.0000 0.0000 0.0000
```

# Li2LaYHg4

A relaxed structure of Li2LaYHg4 (GGA-PBE, the Alexandria database).

Calculated values
Space-group type: R-3m (166)
Spin magnetization in μB per formula unit: 0.00
Calculated volume in Å³ per cell: 191.3
ΔH_f (0 K) in eV/atom: -0.45

```
8
Lattice="-3.3070 3.2607 2.1660 -4.9896 -0.2807 -1.1335 -3.9078 -4.3910 6.7059" Properties=species:S:1:pos:R:3 pbc="T T T"
Li -3.0605 -0.3971 1.9870
Hg -5.6874 1.2497 1.5591
Li -9.1439 -1.0138 5.7514
Hg -8.7362 0.9076 3.4811
Hg -3.4681 -2.3186 4.2573
La 0.0000 0.0000 0.0000
Y -6.1022 -0.7055 3.8692
Hg -6.5170 -2.6607 6.1794
```

# LiLa2ZnHg6

A relaxed structure of LiLa2ZnHg6 (GGA-PBE, the Alexandria database).

Calculated values
Space-group type: P-1 (2)
Spin magnetization in μB per formula unit: 0.00
Calculated volume in Å³ per cell: 254.7
ΔH_f (0 K) in eV/atom: -0.20

```
10
Lattice="7.1054 -0.0072 -0.0136 -0.0064 7.1033 -0.0234 3.5398 3.5316 5.0270" Properties=species:S:1:pos:R:3 pbc="T T T"
Hg 7.0932 7.0873 2.5612
Li 3.5495 3.5480 -0.0185
Hg 1.8249 5.2724 -0.0206
Hg 8.8140 5.3554 5.0105
La 3.5410 7.0924 2.4923
Hg 5.2701 5.2681 -0.0260
Hg 3.5456 3.5405 2.4287
Zn 0.0000 0.0000 0.0000
La 7.0978 3.5354 2.4976
Hg 5.3687 5.3597 5.0159
```

# LaLuHg2

A relaxed structure of LaLuHg2 (GGA-PBE, the Alexandria database).

Calculated values
Space-group type: P4/mmm (123)
Spin magnetization in μB per formula unit: 0.41
Calculated volume in Å³ per cell: 107.6
ΔH_f (0 K) in eV/atom: -0.49

```
4
Lattice="3.7033 0.0000 0.0000 0.0000 3.7033 0.0000 0.0000 0.0000 7.8450" Properties=species:S:1:pos:R:3 pbc="T T T"
La 1.8516 1.8516 3.9225
Hg 0.0000 0.0000 1.7250
Lu 1.8516 1.8516 0.0000
Hg 0.0000 0.0000 6.1200
```

# La2LuHg

A relaxed structure of La2LuHg (GGA-PBE, the Alexandria database).

Calculated values
Space-group type: Fm-3m (225)
Spin magnetization in μB per formula unit: 0.00
Calculated volume in Å³ per cell: 123.6
ΔH_f (0 K) in eV/atom: -0.12
Relative energy among the computed polymorphs in eV per formula unit: 0.34

```
4
Lattice="5.5914 0.0000 0.0000 2.7957 4.8423 0.0000 2.7957 1.6141 4.5653" Properties=species:S:1:pos:R:3 pbc="T T T"
La 2.7957 1.6141 1.1413
La 8.3871 4.8423 3.4240
Lu 0.0000 0.0000 0.0000
Hg 5.5914 3.2282 2.2827
```

# La2LuHg

A relaxed structure of La2LuHg (GGA-PBE, the Alexandria database).

Calculated values
Space-group type: P4/mmm (123)
Spin magnetization in μB per formula unit: 0.16
Calculated volume in Å³ per cell: 127.8
ΔH_f (0 K) in eV/atom: -0.20
Relative energy among the computed polymorphs in eV per formula unit: 0.00

```
4
Lattice="-0.4748 0.4050 -3.7640 -3.1092 -2.2060 0.1549 -4.9715 7.1046 1.3916" Properties=species:S:1:pos:R:3 pbc="T T T"
La -3.8277 5.4701 1.0714
Lu -4.2777 2.6518 -1.1088
La -1.1438 1.6345 0.3202
Hg -1.7920 -0.9005 -1.8046
```

# LaNdLuHg

A relaxed structure of LaNdLuHg (GGA-PBE, the Alexandria database).

Calculated values
Space-group type: F-43m (216)
Spin magnetization in μB per formula unit: 0.00
Calculated volume in Å³ per cell: 120.8
ΔH_f (0 K) in eV/atom: -0.10

```
4
Lattice="-4.9234 0.6846 -2.4674 -3.9882 -3.8016 0.6624 -4.4871 1.1869 3.0420" Properties=species:S:1:pos:R:3 pbc="T T T"
Nd -10.0490 -1.4476 0.9278
La -3.3497 -0.4825 0.3093
Lu 0.0000 0.0000 0.0000
Hg -6.6993 -0.9650 0.6185
```

# LaLuHgPd

A relaxed structure of LaLuHgPd (GGA-PBE, the Alexandria database).

Calculated values
Space-group type: F-43m (216)
Spin magnetization in μB per formula unit: 0.00
Calculated volume in Å³ per cell: 100.0
ΔH_f (0 K) in eV/atom: -0.59

```
4
Lattice="-4.1247 0.8255 -3.0751 -2.1547 -3.9740 -2.5912 -4.6913 -1.7845 1.3990" Properties=species:S:1:pos:R:3 pbc="T T T"
Pd 0.0000 0.0000 0.0000
Lu -2.7427 -1.2333 -1.0668
Hg -5.4854 -2.4665 -2.1337
La -8.2280 -3.6998 -3.2005
```

# LaPrLuHg

A relaxed structure of LaPrLuHg (GGA-PBE, the Alexandria database).

Calculated values
Space-group type: F-43m (216)
Spin magnetization in μB per formula unit: 0.00
Calculated volume in Å³ per cell: 122.1
ΔH_f (0 K) in eV/atom: -0.11

```
4
Lattice="-3.5160 4.1817 1.0751 -3.3299 1.9406 -4.0188 -5.4807 -0.9579 0.2212" Properties=species:S:1:pos:R:3 pbc="T T T"
Lu -6.1633 2.5822 -1.3612
La -3.0816 1.2911 -0.6806
Pr -9.2449 3.8733 -2.0419
Hg 0.0000 0.0000 0.0000
```

# LaLuScHg

A relaxed structure of LaLuScHg (GGA-PBE, the Alexandria database).

Calculated values
Space-group type: F-43m (216)
Spin magnetization in μB per formula unit: 0.50
Calculated volume in Å³ per cell: 110.6
ΔH_f (0 K) in eV/atom: -0.07

```
4
Lattice="-0.5194 -2.9590 4.4718 4.2812 -2.5366 2.0638 2.1703 1.7062 4.6262" Properties=species:S:1:pos:R:3 pbc="T T T"
La 4.4491 -2.8421 8.3713
Lu 1.4830 -0.9474 2.7904
Sc 0.0000 0.0000 0.0000
Hg 2.9661 -1.8947 5.5809
```

# LaSmLuHg

A relaxed structure of LaSmLuHg (GGA-PBE, the Alexandria database).

Calculated values
Space-group type: F-43m (216)
Spin magnetization in μB per formula unit: 0.01
Calculated volume in Å³ per cell: 119.2
ΔH_f (0 K) in eV/atom: -0.10

```
4
Lattice="-1.2020 -4.8814 2.2905 0.9893 -4.6725 -2.7765 4.0685 -3.3675 1.6206" Properties=species:S:1:pos:R:3 pbc="T T T"
Hg 0.0000 0.0000 0.0000
Lu 1.9279 -6.4607 0.5673
La 0.9640 -3.2303 0.2837
Sm 2.8919 -9.6910 0.8510
```

# LaLuThHg

A relaxed structure of LaLuThHg (GGA-PBE, the Alexandria database).

Calculated values
Space-group type: F-43m (216)
Spin magnetization in μB per formula unit: 0.00
Calculated volume in Å³ per cell: 119.6
ΔH_f (0 K) in eV/atom: -0.01

```
4
Lattice="-3.5753 1.4060 -3.9778 -0.1219 -2.8455 -4.7404 -4.2984 -3.2866 -1.1424" Properties=species:S:1:pos:R:3 pbc="T T T"
Lu 0.0000 0.0000 0.0000
Hg -3.9978 -2.3630 -4.9303
La -1.9989 -1.1815 -2.4652
Th -5.9967 -3.5445 -7.3955
```

# LaLuZnHg

A relaxed structure of LaLuZnHg (GGA-PBE, the Alexandria database).

Calculated values
Space-group type: F-43m (216)
Spin magnetization in μB per formula unit: 0.01
Calculated volume in Å³ per cell: 104.0
ΔH_f (0 K) in eV/atom: -0.37

```
4
Lattice="5.2778 0.0000 0.0000 2.6389 4.5707 0.0000 2.6389 1.5236 4.3093" Properties=species:S:1:pos:R:3 pbc="T T T"
Zn 5.2778 3.0471 2.1546
Lu 2.6389 1.5236 1.0773
La 7.9167 4.5707 3.2320
Hg 0.0000 0.0000 0.0000
```

# La9Mg2Hg

A relaxed structure of La9Mg2Hg (GGA-PBE, the Alexandria database).

Calculated values
Space-group type: P4/mmm (123)
Spin magnetization in μB per formula unit: 0.00
Calculated volume in Å³ per cell: 396.1
ΔH_f (0 K) in eV/atom: -0.06

```
12
Lattice="5.8856 0.0000 0.0000 0.0000 5.8856 0.0000 0.0000 0.0000 11.4360" Properties=species:S:1:pos:R:3 pbc="T T T"
La 2.9428 2.9428 3.7230
La 2.9428 0.0000 1.8335
Mg 0.0000 0.0000 7.6039
Mg 0.0000 0.0000 3.8320
La 0.0000 2.9428 9.6025
La 0.0000 2.9428 5.7180
La 2.9428 0.0000 5.7180
La 0.0000 2.9428 1.8335
La 2.9428 2.9428 7.7130
Hg 0.0000 0.0000 0.0000
La 2.9428 2.9428 0.0000
La 2.9428 0.0000 9.6025
```